(1)
The following is a DFT calculation (SCAN) of a crystal of Y2AgRh2 relaxed with PBEsol.

a b c (Å): 7.2556 7.2556 3.7315
angles (deg): 90.00 90.00 90.00
Space group P4/mbm (No. 127)
Asymmetric unit:
1 Y 0.1699 0.3301 0.0000
2 Ag 0.0000 0.0000 0.5000
3 Rh 0.1328 0.6328 0.5000

Summary:
As for the energy relative to the elements: -712 meV per atom. The offset from the most stable computed form is 0.0 meV per atom.

(2)
The following is a DFT calculation (SCAN) of a crystal of Ca2LaBeAs relaxed with PBEsol.

a b c (Å): 6.1956 6.1956 5.4082
angles (deg): 90.00 90.00 90.00
Space group P4/mmm (No. 123)
Asymmetric unit:
1 Ca 0.0000 0.5000 0.0000
2 La 0.0000 0.0000 0.0000
3 Be 0.5000 0.5000 0.5000
4 As 0.0000 0.0000 0.5000

Summary:
As for the energy relative to the elements: 1053 meV per atom.

(3)
The following is a DFT calculation (SCAN) of a crystal of CsGa3Ag relaxed with PBEsol.

a b c (Å): 5.8268 5.8268 5.8268
angles (deg): 90.00 90.00 90.00
Space group Pm-3m (No. 221)
Asymmetric unit:
1 Cs 0.0000 0.0000 0.0000
2 Ga 0.0000 0.0000 0.5000
3 Ag 0.5000 0.5000 0.5000

Summary:
As for the energy relative to the elements: 1576 meV per atom.

(4)
The following is a DFT calculation (SCAN) of a crystal of Li3TlPd relaxed with PBEsol.

a b c (Å): 4.6664 4.6664 4.6664
angles (deg): 90.00 90.00 90.00
Space group Pm-3m (No. 221)
Asymmetric unit:
1 Li 0.0000 0.0000 0.5000
2 Tl 0.5000 0.5000 0.5000
3 Pd 0.0000 0.0000 0.0000

Summary:
As for the energy relative to the elements: -76 meV per atom.

(5)
The following is a DFT calculation (SCAN) of a crystal of La2CoHg relaxed with PBEsol.

a b c (Å): 3.7640 3.5580 7.3364
angles (deg): 90.00 99.38 90.00
Space group P2/m (No. 10)
Asymmetric unit:
1 La 0.0923 0.0000 0.2895
2 Co 0.5000 0.5000 0.5000
3 Hg 0.5000 0.5000 0.0000

Summary:
As for the energy relative to the elements: -232 meV per atom.

(6)
The following is a DFT calculation (SCAN) of a crystal of LiH2Pd2 relaxed with PBEsol.

a b c (Å): 5.6831 5.6831 2.8126
angles (deg): 90.00 90.00 90.00
Space group P4/mbm (No. 127)
Asymmetric unit:
1 Li 0.0000 0.0000 0.0000
2 H 0.1895 0.3105 0.0000
3 Pd 0.1698 0.6698 0.5000

Summary:
The total energy comes out at -75.9 eV per formula unit.